1.
PBE SrMgNbIr, relaxed; offset from the most stable computed form = 0.130 eV per atom; raw total energy = -5.191 eV/atom
1.0
0.000 3.473 3.473
3.473 0.000 3.473
3.473 3.473 0.000
Ir Sr Mg Nb
1 1 1 1
Direct
0.250 0.250 0.250 Ir
0.000 0.000 0.000 Sr
0.750 0.750 0.750 Mg
0.500 0.500 0.500 Nb

2.
PBE SrMgNbIr, relaxed; offset from the most stable computed form = 0.441 eV per atom; raw total energy = -4.880 eV/atom
1.0
2.278 -1.578 4.065
-2.194 -3.288 2.930
1.703 -4.610 0.233
Sr Nb Mg Ir
1 1 1 1
Direct
0.250 0.250 0.250 Sr
0.500 0.500 0.500 Nb
0.750 0.750 0.750 Mg
0.000 0.000 0.000 Ir

3.
PBE Nd3Mg3Ir2Pd, relaxed; raw total energy = -5.277 eV/atom
1.0
-6.639 3.478 0.428
2.595 -3.872 5.885
1.863 3.383 1.404
Pd Nd Ir Mg
1 3 2 3
Direct
0.000 0.000 0.000 Pd
0.000 0.417 0.000 Nd
0.417 0.000 0.000 Nd
0.583 0.583 0.000 Nd
0.667 0.333 0.500 Ir
0.333 0.667 0.500 Ir
0.245 0.245 0.500 Mg
0.000 0.755 0.500 Mg
0.755 0.000 0.500 Mg

4.
PBE Tb2NdMg3Ir2Pd, relaxed; raw total energy = -5.289 eV/atom
1.0
-3.661 0.400 -1.670
-1.231 -7.268 0.958
-1.888 4.857 5.301
Nd Mg Pd Ir Tb
1 3 1 2 2
Direct
0.000 0.582 0.582 Nd
0.500 0.002 0.753 Mg
0.500 0.246 0.246 Mg
0.500 0.753 0.002 Mg
0.000 0.004 0.004 Pd
0.500 0.328 0.669 Ir
0.500 0.669 0.328 Ir
0.000 0.000 0.416 Tb
0.000 0.416 0.000 Tb

5.
PBE TbNd2Mg3Ir2Pd, relaxed; raw total energy = -5.282 eV/atom
1.0
-0.757 3.361 2.172
1.956 -3.588 6.234
5.161 3.690 -3.913
Mg Ir Nd Tb Pd
3 2 2 1 1
Direct
0.500 0.247 0.002 Mg
0.500 0.752 0.752 Mg
0.500 0.002 0.247 Mg
0.500 0.336 0.660 Ir
0.500 0.660 0.336 Ir
0.000 0.582 0.001 Nd
0.000 0.001 0.582 Nd
0.000 0.415 0.415 Tb
0.000 0.005 0.005 Pd

6.
PBE Nd2TmMg3Ir2Pd, relaxed; raw total energy = -5.271 eV/atom
1.0
-2.392 3.230 0.592
-3.936 -1.812 -6.019
-1.994 -2.690 6.617
Mg Nd Pd Ir Tm
3 2 1 2 1
Direct
0.500 0.003 0.247 Mg
0.500 0.247 0.003 Mg
0.500 0.752 0.752 Mg
0.000 0.582 0.001 Nd
0.000 0.001 0.582 Nd
0.000 0.008 0.008 Pd
0.500 0.657 0.338 Ir
0.500 0.338 0.657 Ir
0.000 0.413 0.413 Tm

7.
PBE NdTm2Mg3Ir2Pd, relaxed; raw total energy = -5.266 eV/atom
1.0
4.022 0.000 0.000
0.000 6.412 3.658
0.000 -6.412 3.658
Pd Mg Tm Ir Nd
1 3 2 2 1
Direct
0.000 0.993 0.993 Pd
0.500 0.754 0.754 Mg
0.500 0.997 0.248 Mg
0.500 0.248 0.997 Mg
0.000 0.000 0.585 Tm
0.000 0.585 0.000 Tm
0.500 0.674 0.330 Ir
0.500 0.330 0.674 Ir
0.000 0.419 0.419 Nd

8.
PBE Nd2YMg3Ir2Pd, relaxed; raw total energy = -5.485 eV/atom
1.0
-2.899 0.830 -2.739
-4.186 -5.520 2.758
-0.651 6.889 2.777
Mg Y Nd Pd Ir
3 1 2 1 2
Direct
0.500 0.003 0.247 Mg
0.500 0.247 0.003 Mg
0.500 0.751 0.751 Mg
0.000 0.415 0.415 Y
0.000 0.001 0.582 Nd
0.000 0.582 0.001 Nd
0.000 0.004 0.004 Pd
0.500 0.336 0.662 Ir
0.500 0.662 0.336 Ir